[1]
{
  "formula": "Ca3Pm4TmSe8",
  "functional": "PBE",
  "state": "optimized geometry",
  "cell": [[-4.839, 4.314, 5.155], [-4.658, -6.855, 1.364], [8.178, -0.301, 1.275]],
  "species": ["Pm", "Pm", "Pm", "Pm", "Ca", "Ca", "Ca", "Se", "Se", "Se", "Se", "Se", "Se", "Se", "Se", "Tm"],
  "fractional_positions": [[0.000, 0.000, 0.000], [0.000, 0.000, 0.500], [0.500, 0.000, 0.500], [0.500, 0.000, 0.000], [0.500, 0.500, 0.000], [0.000, 0.500, 0.500], [0.500, 0.500, 0.500], [0.244, 0.740, 0.996], [0.252, 0.255, 0.503], [0.756, 0.260, 0.004], [0.249, 0.260, 0.004], [0.748, 0.745, 0.497], [0.751, 0.740, 0.996], [0.244, 0.740, 0.489], [0.756, 0.260, 0.511], [0.000, 0.500, 0.000]],
  "raw_formation_energy_ev_per_fu": -29.84
}


[2]
{
  "formula": "CdSbTe2I",
  "functional": "PBE",
  "state": "optimized geometry",
  "cell": [[5.798, 0.000, 0.000], [0.000, 5.798, 0.000], [0.000, 0.000, 5.937]],
  "species": ["Te", "Te", "Cd", "Sb", "I"],
  "fractional_positions": [[0.000, 0.500, 0.000], [0.500, 0.000, 0.000], [0.500, 0.500, 0.500], [0.000, 0.000, 0.000], [0.000, 0.000, 0.500]],
  "raw_formation_energy_ev_per_fu": 1.56,
  "de_polymorph_ev_per_atom": 0.000
}


[3]
{
  "formula": "CeGe2Pt",
  "functional": "PBE",
  "state": "optimized geometry",
  "cell": [[3.079, 0.000, 0.000], [1.539, 2.666, 0.000], [1.539, 0.889, 9.930]],
  "species": ["Ge", "Ge", "Pt", "Ce"],
  "fractional_positions": [[0.101, 0.101, 0.698], [0.899, 0.899, 0.302], [0.500, 0.500, 0.500], [0.000, 0.000, 0.000]],
  "formation_enthalpy_0k_kcal_per_mol_atoms": -1.424
}


[4]
{
  "formula": "Ag2Cl",
  "functional": "PBE",
  "state": "optimized geometry",
  "cell": [[3.818, 9.413, 6.841], [1.521, 11.601, 3.618], [-4.551, -10.649, -3.985]],
  "species": ["Ag", "Ag", "Ag", "Ag", "Cl", "Cl"],
  "fractional_positions": [[0.827, 0.327, 0.500], [0.673, 0.173, 0.500], [0.077, 0.077, 0.000], [0.923, 0.923, 0.000], [0.500, 0.500, 0.000], [0.250, 0.750, 0.500]],
  "raw_formation_energy_ev_per_fu": 0.00,
  "de_polymorph_ev_per_atom": 0.223
}


[5]
{
  "formula": "ThMg6In6",
  "functional": "PBE",
  "state": "optimized geometry",
  "cell": [[5.599, 0.000, 2.445], [2.519, 7.142, 1.865], [-0.071, -0.187, 7.797]],
  "species": ["In", "In", "In", "In", "In", "In", "Mg", "Mg", "Mg", "Mg", "Mg", "Mg", "Th"],
  "fractional_positions": [[0.663, 0.837, 0.837], [0.335, 0.665, 0.665], [0.000, 0.653, 0.347], [0.000, 0.347, 0.653], [0.337, 0.163, 0.163], [0.665, 0.335, 0.335], [0.000, 0.500, 0.000], [0.500, 0.500, 0.000], [0.500, 0.246, 0.754], [0.000, 0.000, 0.500], [0.500, 0.754, 0.246], [0.500, 0.000, 0.500], [0.000, 0.000, 0.000]],
  "formation_enthalpy_0k_kcal_per_mol_atoms": -2.768
}


[6]
{
  "formula": "Dy2InSe",
  "functional": "PBE",
  "state": "optimized geometry",
  "cell": [[-2.304, -3.107, -0.126], [0.530, -2.905, 2.502], [-5.789, 1.634, 6.117]],
  "species": ["In", "Dy", "Dy", "Se"],
  "fractional_positions": [[0.500, 0.500, 0.501], [0.071, 0.071, 0.787], [0.262, 0.262, 0.214], [0.667, 0.667, 0.998]],
  "raw_formation_energy_ev_per_fu": -4.12,
  "de_polymorph_ev_per_atom": 0.075
}


[7]
{
  "formula": "Rb2AcRu2O7",
  "functional": "PBE",
  "state": "optimized geometry",
  "cell": [[4.037, -0.002, 0.010], [0.002, 4.037, 0.010], [1.990, 1.988, 11.210]],
  "species": ["Ru", "Ru", "Rb", "Rb", "Ac", "O", "O", "O", "O", "O", "O", "O"],
  "fractional_positions": [[0.594, 0.594, 0.812], [0.406, 0.406, 0.188], [0.188, 0.188, 0.625], [0.812, 0.812, 0.375], [0.000, 0.000, 0.000], [0.677, 0.677, 0.646], [0.323, 0.323, 0.354], [0.581, 0.081, 0.837], [0.500, 0.500, 0.000], [0.081, 0.581, 0.837], [0.919, 0.419, 0.163], [0.419, 0.919, 0.163]],
  "raw_formation_energy_ev_per_fu": -19.77
}


[8]
{
  "formula": "SrAc8Ir5",
  "functional": "PBE",
  "state": "optimized geometry",
  "cell": [[4.337, 0.000, -0.848], [-0.515, 10.324, -2.632], [0.009, 0.168, 11.557]],
  "species": ["Ir", "Ir", "Ir", "Ir", "Ir", "Ac", "Ac", "Ac", "Ac", "Ac", "Ac", "Ac", "Ac", "Sr"],
  "fractional_positions": [[0.665, 0.998, 0.329], [0.298, 0.677, 0.597], [0.335, 0.002, 0.671], [0.000, 0.000, 0.000], [0.702, 0.323, 0.403], [0.095, 0.849, 0.189], [0.823, 0.510, 0.646], [0.240, 0.159, 0.479], [0.573, 0.154, 0.146], [0.177, 0.490, 0.354], [0.760, 0.841, 0.521], [0.427, 0.846, 0.854], [0.905, 0.151, 0.811], [0.500, 0.500, 0.000]],
  "formation_enthalpy_0k_kcal_per_mol_atoms": -12.925
}


[9]
{
  "formula": "PmHo4Zn5",
  "functional": "PBE",
  "state": "optimized geometry",
  "cell": [[3.571, 0.000, 0.000], [0.000, 3.571, 0.000], [0.000, 0.000, 17.900]],
  "species": ["Ho", "Ho", "Ho", "Ho", "Pm", "Zn", "Zn", "Zn", "Zn", "Zn"],
  "fractional_positions": [[0.000, 0.000, 0.598], [0.000, 0.000, 0.402], [0.000, 0.000, 0.796], [0.000, 0.000, 0.204], [0.000, 0.000, 0.000], [0.500, 0.500, 0.500], [0.500, 0.500, 0.698], [0.500, 0.500, 0.108], [0.500, 0.500, 0.892], [0.500, 0.500, 0.302]],
  "formation_enthalpy_0k_kcal_per_mol_atoms": -7.735
}


[10]
{
  "formula": "NaP2OsRu",
  "functional": "PBE",
  "state": "optimized geometry",
  "cell": [[-0.297, -0.660, 4.018], [-3.241, -2.400, -0.634], [4.646, -2.248, -2.100]],
  "species": ["Os", "P", "P", "Na", "Ru"],
  "fractional_positions": [[0.750, 0.250, 0.500], [0.631, 0.631, 0.261], [0.369, 0.369, 0.739], [0.000, 0.000, 0.000], [0.250, 0.750, 0.500]],
  "formation_enthalpy_0k_kcal_per_mol_atoms": -11.036,
  "de_polymorph_ev_per_atom": 0.000
}


[11]
{
  "formula": "HfBr2Cl",
  "functional": "PBE",
  "state": "optimized geometry",
  "cell": [[-0.967, 9.710, 2.997], [1.043, 10.153, 0.172], [-2.427, 9.914, -0.173]],
  "species": ["Cl", "Hf", "Br", "Br"],
  "fractional_positions": [[0.000, 0.000, 0.000], [0.500, 0.500, 0.500], [0.106, 0.106, 0.106], [0.894, 0.894, 0.894]],
  "raw_formation_energy_ev_per_fu": -2.64,
  "de_polymorph_ev_per_atom": 0.445
}


[12]
{
  "formula": "Pt2PbCl",
  "functional": "PBE",
  "state": "optimized geometry",
  "cell": [[3.027, 0.000, 0.000], [0.000, 4.795, 0.000], [0.000, 0.000, 5.534]],
  "species": ["Cl", "Pt", "Pt", "Pb"],
  "fractional_positions": [[0.500, 0.000, 0.500], [0.500, 0.500, 0.000], [0.000, 0.000, 0.000], [0.000, 0.500, 0.500]],
  "raw_formation_energy_ev_per_fu": 0.72,
  "de_polymorph_ev_per_atom": 0.268
}


no.,calculated volume (Å³/atom),raw total energy (eV per atom)
1,25.64,-5.449
2,39.91,-2.262
3,20.38,-5.364
4,20.51,-2.515
5,24.15,-2.691
6,26.86,-4.886
7,15.21,-6.589
8,37.11,-6.193
9,22.82,-3.279
10,15.89,-7.007
11,26.46,-4.446
12,20.08,-4.228